Material: MnCuAgHg
Method: DFT, PBE
State: optimized geometry

Output
V, Å³ per atom: 16.65
E, eV per cell: -62.0
Energy of formation, eV/atom: 0.23

Cell lengths 6.4351, 6.4351, 6.4351 Å; angles 90.00, 90.00, 90.00 degrees
Last column: nearest neighbours and their distance in Å.
Space group F-43m (No. 216)
Inequivalent atoms, fractional coordinates:
1 Mn 0.0000 0.0000 0.0000 (multiplicity 4)  4 Hg 2.79, 4 Ag 2.79
2 Cu 0.0000 0.0000 0.5000 (multiplicity 4)  4 Ag 2.79, 4 Hg 2.79
3 Ag 0.2500 0.2500 0.7500 (multiplicity 4)  4 Mn 2.79, 4 Cu 2.79
4 Hg 0.2500 0.2500 0.2500 (multiplicity 4)  4 Mn 2.79, 4 Cu 2.79